Below is crystalline UOs4 at its relaxed geometry, with properties calculated at the GGA-PBE level.

Values from the calculation:
formation energy	2.619	eV per atom

a = 4.7677 Å, b = 4.7677 Å, c = 4.7677 Å
α = 90.00°, β = 90.00°, γ = 90.00°
Atoms (fractional coordinates):
U 0.0000 0.0000 0.0000
Os 0.0000 0.0000 0.5000
Os 0.0000 0.5000 0.0000
Os 0.5000 0.0000 0.0000
Os 0.5000 0.5000 0.5000